Entry from the Alexandria database: an optimized crystal structure of Tl6GaHg12 (GGA-PBE).

Values from the calculation:
formation energy	44	kJ/mol of formula units

CIF file:
```
data_Tl6GaHg12
_chemical_formula_sum 'Tl6 Ga1 Hg12'
_symmetry_space_group_name_H-M 'P 1'
_symmetry_Int_Tables_number 1
_cell_length_a 8.841
_cell_length_b 8.841
_cell_length_c 8.841
_cell_angle_alpha 107.44
_cell_angle_beta 107.44
_cell_angle_gamma 107.44
loop_
_symmetry_equiv_pos_as_xyz
'x,y,z'
loop_
_atom_site_label
_atom_site_type_symbol
_atom_site_fract_x
_atom_site_fract_y
_atom_site_fract_z
Tl1 Tl 0.035 0.269 0.459
Tl2 Tl 0.269 0.459 0.035
Tl3 Tl 0.459 0.035 0.269
Tl4 Tl 0.541 0.965 0.731
Tl5 Tl 0.731 0.541 0.965
Tl6 Tl 0.965 0.731 0.541
Ga1 Ga 0.500 0.500 0.500
Hg1 Hg 0.075 0.889 0.281
Hg2 Hg 0.111 0.719 0.925
Hg3 Hg 0.215 0.619 0.383
Hg4 Hg 0.281 0.075 0.889
Hg5 Hg 0.381 0.617 0.785
Hg6 Hg 0.383 0.215 0.619
Hg7 Hg 0.617 0.785 0.381
Hg8 Hg 0.619 0.383 0.215
Hg9 Hg 0.719 0.925 0.111
Hg10 Hg 0.785 0.381 0.617
Hg11 Hg 0.889 0.281 0.075
Hg12 Hg 0.925 0.111 0.719
```

=====

Entry from the Alexandria database: an optimized crystal structure of TlGaHg6 (GGA-PBE).

Values from the calculation:
formation energy	18	kJ/mol of formula units

CIF file:
```
data_TlGaHg6
_chemical_formula_sum 'Tl1 Ga1 Hg6'
_symmetry_space_group_name_H-M 'P 1'
_symmetry_Int_Tables_number 1
_cell_length_a 4.948
_cell_length_b 4.948
_cell_length_c 8.676
_cell_angle_alpha 90.00
_cell_angle_beta 90.00
_cell_angle_gamma 90.00
loop_
_symmetry_equiv_pos_as_xyz
'x,y,z'
loop_
_atom_site_label
_atom_site_type_symbol
_atom_site_fract_x
_atom_site_fract_y
_atom_site_fract_z
Tl1 Tl 0.000 0.000 0.000
Ga1 Ga 0.000 0.000 0.500
Hg1 Hg 0.000 0.500 0.266
Hg2 Hg 0.000 0.500 0.734
Hg3 Hg 0.500 0.000 0.266
Hg4 Hg 0.500 0.000 0.734
Hg5 Hg 0.500 0.500 0.000
Hg6 Hg 0.500 0.500 0.500
```

=====

Entry from the Alexandria database: an optimized crystal structure of Tl17GaHg11 (GGA-PBE).

Values from the calculation:
formation energy	13	kJ/mol of formula units

CIF file:
```
data_Tl17GaHg11
_chemical_formula_sum 'Tl17 Ga1 Hg11'
_symmetry_space_group_name_H-M 'P 1'
_symmetry_Int_Tables_number 1
_cell_length_a 10.432
_cell_length_b 10.432
_cell_length_c 10.162
_cell_angle_alpha 109.55
_cell_angle_beta 109.55
_cell_angle_gamma 110.29
loop_
_symmetry_equiv_pos_as_xyz
'x,y,z'
loop_
_atom_site_label
_atom_site_type_symbol
_atom_site_fract_x
_atom_site_fract_y
_atom_site_fract_z
Tl1 Tl 0.000 0.000 0.000
Tl2 Tl 0.000 0.611 0.314
Tl3 Tl 0.003 0.003 0.360
Tl4 Tl 0.276 0.667 0.670
Tl5 Tl 0.305 0.610 0.999
Tl6 Tl 0.324 0.997 0.615
Tl7 Tl 0.349 0.994 0.994
Tl8 Tl 0.381 0.381 0.711
Tl9 Tl 0.403 0.723 0.396
Tl10 Tl 0.610 0.305 0.999
Tl11 Tl 0.611 0.000 0.314
Tl12 Tl 0.631 0.631 0.636
Tl13 Tl 0.667 0.276 0.670
Tl14 Tl 0.678 0.678 0.288
Tl15 Tl 0.723 0.403 0.396
Tl16 Tl 0.994 0.349 0.994
Tl17 Tl 0.997 0.324 0.615
Ga1 Ga 0.161 0.161 0.781
Hg1 Hg 0.006 0.817 0.639
Hg2 Hg 0.192 0.839 0.204
Hg3 Hg 0.199 0.378 0.354
Hg4 Hg 0.353 0.353 0.123
Hg5 Hg 0.378 0.199 0.354
Hg6 Hg 0.621 0.797 0.997
Hg7 Hg 0.635 0.987 0.821
Hg8 Hg 0.797 0.621 0.997
Hg9 Hg 0.817 0.006 0.639
Hg10 Hg 0.839 0.192 0.204
Hg11 Hg 0.987 0.635 0.821
```

=====

Entry from the Alexandria database: an optimized crystal structure of Tl2Ga2Hg (GGA-PBE).

Values from the calculation:
energy above the most stable polymorph in this dataset	0.111	eV per atom
formation energy	77	kJ/mol of formula units

CIF file:
```
data_Tl2Ga2Hg
_chemical_formula_sum 'Tl4 Ga4 Hg2'
_symmetry_space_group_name_H-M 'P 1'
_symmetry_Int_Tables_number 1
_cell_length_a 4.839
_cell_length_b 4.839
_cell_length_c 11.885
_cell_angle_alpha 90.00
_cell_angle_beta 90.00
_cell_angle_gamma 90.00
loop_
_symmetry_equiv_pos_as_xyz
'x,y,z'
loop_
_atom_site_label
_atom_site_type_symbol
_atom_site_fract_x
_atom_site_fract_y
_atom_site_fract_z
Tl1 Tl 0.000 0.500 0.250
Tl2 Tl 0.000 0.500 0.750
Tl3 Tl 0.500 0.000 0.250
Tl4 Tl 0.500 0.000 0.750
Ga1 Ga 0.000 0.000 0.106
Ga2 Ga 0.000 0.000 0.894
Ga3 Ga 0.500 0.500 0.394
Ga4 Ga 0.500 0.500 0.606
Hg1 Hg 0.000 0.000 0.500
Hg2 Hg 0.500 0.500 0.000
```

=====

Number 1: raw total energy -1.073 eV/atom. Number 2: raw total energy -0.877 eV/atom. Number 3: raw total energy -1.601 eV/atom. Number 4: raw total energy -2.058 eV/atom.